The following is a PBE-GGA calculation of crystalline TePN2 at its relaxed geometry, from the Alexandria database.

## Properties
Space group = No. 166
ΔE_f (raw) = 1.0502 eV/atom

Unit cell a=6.783 b=6.783 c=6.783 alpha=28.00 beta=28.00 gamma=28.00
Sites, in units of the cell vectors:
Te1 0.000 0.000 0.000
P1 0.500 0.500 0.500
N1 0.416 0.416 0.416
N2 0.584 0.584 0.584